A plane-wave DFT calculation with PBE was carried out for a relaxed Rb2CaCu2I6 crystal.

Cell and atoms, written as POSCAR:
```
Rb2CaCu2I6
1.0
8.4209 0.0000 0.0000
-4.2104 7.1412 -0.2064
0.0000 -4.2773 8.0458
Rb I Cu Ca
2 6 2 1
Cartesian
0.0000 0.6173 6.3308 Rb
4.2104 2.2466 1.5087 Rb
4.2104 0.8719 4.9137 I
6.2688 -2.6154 6.3721 I
2.1521 -2.6154 6.3721 I
0.0000 1.9920 2.9258 I
2.0583 5.4793 1.4673 I
-2.0583 5.4793 1.4673 I
4.2104 3.2666 5.7392 Cu
0.0000 -0.4027 2.1003 Cu
4.2104 -2.1387 4.0229 Ca
```

Output
Its uncorrected formation energy is -0.996 eV/atom.

---

A plane-wave DFT calculation with PBE was carried out for a relaxed YTh2P3Ir12 crystal.

Cell and atoms, written as POSCAR:
```
YTh2P3Ir12
1.0
-2.1880 3.4518 5.4965
-5.5074 2.6659 -3.0784
-4.3280 -4.8664 2.1214
Ir Th P Y
12 2 3 1
Cartesian
-6.7423 -2.0373 2.7967 Ir
-7.3498 1.8430 0.1180 Ir
-7.7672 3.4160 2.6936 Ir
-6.3835 -0.9966 0.0043 Ir
-7.1888 -0.2782 5.2439 Ir
-5.6398 2.2479 4.5353 Ir
-4.2562 -2.1647 1.8460 Ir
-4.6736 -0.5917 4.4216 Ir
-3.2066 1.9150 3.5013 Ir
-5.2811 3.2886 1.7429 Ir
-8.8168 -0.6637 1.0383 Ir
-4.8346 1.5295 -0.7043 Ir
-4.3144 0.4490 1.6289 Th
-7.7090 0.8023 2.9106 Th
-2.7537 1.3329 -1.5392 P
-1.0940 1.7259 2.7483 P
-2.1640 -2.4332 1.0607 P
0.0000 0.0000 0.0000 Y
```

Output
As for the formation energy: -0.15 eV per atom.

---

A plane-wave DFT calculation with PBE was carried out for a relaxed Li2TaSb2 crystal.

Cell and atoms, written as POSCAR:
```
Li2TaSb2
1.0
-4.7161 -5.3063 3.3562
6.2674 -4.2290 2.1207
0.1499 1.5829 2.7133
Li Ta Sb
4 2 4
Cartesian
3.4031 -2.5180 3.1034 Li
2.6080 -6.2257 5.3103 Li
-1.7018 -5.4344 5.0869 Li
-0.9067 -1.7267 2.8799 Li
0.0000 0.0000 0.0000 Ta
0.7757 -4.7676 2.7385 Ta
3.6397 -5.2247 2.8469 Sb
0.3267 -7.2335 4.2018 Sb
-2.0884 -4.3105 2.6301 Sb
1.2246 -2.3017 1.2751 Sb
```

Output
Its uncorrected formation energy is -0.052 eV/atom.

---

A plane-wave DFT calculation with PBE was carried out for a relaxed Hf3TcGe crystal.

Cell and atoms, written as POSCAR:
```
Hf3TcGe
1.0
4.9514 0.0000 0.0000
0.0000 4.9514 0.0000
0.0000 0.0000 4.9514
Hf Ge Tc
3 1 1
Cartesian
0.0000 0.0000 2.4757 Hf
0.0000 2.4757 0.0000 Hf
2.4757 0.0000 0.0000 Hf
2.4757 2.4757 2.4757 Ge
0.0000 0.0000 0.0000 Tc
```

Output
Its relative energy among the computed polymorphs is 0.000 eV/atom. As for the formation energy: 0.50 eV per atom.

---

Let's list size of the total moment in order: 0.0; 0.0; 0.0; 0.0 Bohr magnetons per cell.
Let's list calculated density in order: 3.83; 15.44; 7.51; 9.66 g/cm³.